Record 1
Compound: NiSnB2As
Source: the Alexandria database
Functional: PBE
Structure: relaxed

```
NiSnB2As
1.0
-0.377 -2.568 -3.017
2.339 -4.175 3.262
-3.621 -1.006 1.309
B As Ni Sn
2 1 1 1
Cartesian
-1.811 -0.503 0.655
-0.189 -1.284 -1.508
0.000 0.000 0.000
-0.830 -3.875 0.777
1.170 -2.088 1.631
```

Properties
DFT formation energy   1554 meV per atom
Electronic total energy   -4.004 eV per atom
Mass density   4959 kg/m³
SG   No. 123



Record 2
Compound: Sr2ErUN4
Source: the Alexandria database
Functional: PBE
Structure: relaxed

```
Sr2ErUN4
1.0
3.585 0.000 0.000
0.000 6.055 0.109
0.000 -2.113 5.945
N Sr U Er
4 2 1 1
Cartesian
1.792 0.921 1.213
0.000 -0.229 4.792
0.000 4.171 1.263
1.792 3.021 4.842
0.000 1.971 3.027
1.792 -1.057 2.973
0.000 0.000 0.000
1.792 3.028 0.055
```

Properties
ΔE_f (raw)   -1.29 eV/atom
Electronic total energy   -7.850 eV per atom
Mass density   8138 kg/m³
SG   No. 10



Record 3
Compound: Pu4SiSb
Source: the Alexandria database
Functional: PBE
Structure: relaxed

```
Pu4SiSb
1.0
-2.968 1.377 -1.991
0.195 -3.736 -2.874
-5.614 -3.168 3.738
Pu Sb Si
4 1 1
Cartesian
-4.872 -2.962 -0.332
-2.540 -2.359 -0.957
-6.026 -5.849 -0.529
-3.102 -3.572 -3.290
-8.039 -3.613 0.301
-3.014 -5.332 -0.997
```

Properties
ΔE_f (raw)   -0.36 eV/atom
Electronic total energy   -11.507 eV per atom
Mass density   14089 kg/m³
SG   No. 6



Record 4
Compound: Er5Sb4P
Source: the Alexandria database
Functional: PBE
Structure: relaxed

```
Er5Sb4P
1.0
6.070 0.000 0.000
3.035 6.757 0.000
3.035 0.000 6.757
Sb P Er
4 1 5
Cartesian
6.076 4.076 1.413
6.076 2.681 5.344
3.041 1.413 2.681
9.111 5.344 4.076
0.006 0.000 0.000
3.043 0.000 0.000
9.111 2.560 5.510
3.041 4.197 1.247
6.076 1.247 2.560
6.076 5.510 4.197
```

Properties
ΔE_f (raw)   -1.16 eV/atom
Electronic total energy   -5.632 eV per atom
Mass density   8114 kg/m³
SG   No. 87



Record 5
Compound: Li2CaAc2Ge2
Source: the Alexandria database
Functional: PBE
Structure: relaxed

```
Li2CaAc2Ge2
1.0
-2.115 3.363 2.258
0.792 0.609 4.459
7.906 8.201 -0.182
Ge Li Ac Ca
2 2 2 1
Cartesian
1.001 2.512 1.821
5.581 9.660 4.715
0.216 3.552 4.160
6.367 8.620 2.375
1.509 6.305 5.896
5.073 5.867 0.639
0.000 0.000 0.000
```

Properties
DFT formation energy   -453 meV per atom
Electronic total energy   -3.779 eV per atom
Mass density   5412 kg/m³
SG   No. 166



Record 6
Compound: K2LaHfPb
Source: the Alexandria database
Functional: PBE
Structure: relaxed

```
K2LaHfPb
1.0
6.495 0.000 0.000
0.000 5.940 0.000
0.000 0.000 6.495
K Hf Pb La
2 1 1 1
Cartesian
0.000 0.000 3.247
3.247 0.000 0.000
3.247 2.970 3.247
0.000 2.970 0.000
0.000 0.000 0.000
```

Properties
DFT formation energy   1497 meV per atom
Electronic total energy   -2.659 eV per atom
Mass density   3995 kg/m³
SG   No. 123